Below is an optimized crystal structure of Li2TlPt, with properties calculated at the PBEsol level.

Unit cell a=4.8204 b=4.8204 c=4.8204 alpha=130.36 beta=130.36 gamma=72.83
Atoms (fractional coordinates):
Li 0.0000 0.0000 0.0000
Li 0.7500 0.2500 0.5000
Tl 0.5000 0.5000 0.0000
Pt 0.2500 0.7500 0.5000

Calculated values
DOS(E_F) = 0.342 states/eV per atom
formation energy = -0.414 eV/atom
energy = -15.2 eV/f.u.
mass density = 10.80 Mg/m³